This record from Alexandria describes a geometry-optimized K3TaCd structure. The functional is PBE.

Results
The total energy is -1.886 eV/atom.

Geometry as CIF:
```
data_K3TaCd
_symmetry_space_group_name_H-M 'P m -3 m'
_symmetry_Int_Tables_number 221
_symmetry_space_group_name_Hall '-P 4 2 3'
_cell_length_a 6.774
_cell_length_b 6.774
_cell_length_c 6.774
_cell_angle_alpha 90.00
_cell_angle_beta 90.00
_cell_angle_gamma 90.00
loop_
_atom_site_label
_atom_site_fract_x
_atom_site_fract_y
_atom_site_fract_z
K1 0.000 0.000 0.500
Ta1 0.000 0.000 0.000
Cd1 0.500 0.500 0.500
```